DFT (PBE) results for a relaxed structure of TaBeI2.

a = 4.8699 Å, b = 4.8699 Å, c = 4.8699 Å
α = 60.00°, β = 60.00°, γ = 60.00°
Closest atoms and distances in Å follow each position.
Fractional positions:
I 0.7500 0.7500 0.7500  4 Ta 2.98, 4 Be 2.98
Be 0.0000 0.0000 0.0000  8 I 2.98
I 0.2500 0.2500 0.2500  4 Ta 2.98, 4 Be 2.98
Ta 0.5000 0.5000 0.5000  8 I 2.98

Properties
SG ... No. 225
Relative energy among the computed polymorphs ... 0.000 eV/atom